No. 1
Entry from Alexandria: NaPd4Pb2 after structural relaxation (PBE).

a b c (Å): 10.004 10.004 10.004
angles (deg): 156.74 156.74 33.13
Positions (direct):
Na: 0.000 0.000 0.000
Pd: 0.147 0.147 0.000
Pd: 0.250 0.750 0.500
Pd: 0.750 0.250 0.500
Pd: 0.853 0.853 0.000
Pb: 0.365 0.365 0.000
Pb: 0.635 0.635 0.000

## Properties
Total moment: 0.00 μB per formula unit
Energy of formation from the pure elements: -1.4 eV per formula unit
DFT total energy: -30.9 eV per cell

No. 2
Entry from Alexandria: Ce6GeO12 after structural relaxation (PBE).

a b c (Å): 6.711 6.711 6.711
angles (deg): 99.65 99.65 99.65
Positions (direct):
Ce: 0.100 0.791 0.635
Ce: 0.209 0.365 0.900
Ce: 0.365 0.900 0.209
Ce: 0.635 0.100 0.791
Ce: 0.791 0.635 0.100
Ce: 0.900 0.209 0.365
Ge: 0.500 0.500 0.500
O: 0.065 0.917 0.322
O: 0.083 0.678 0.935
O: 0.177 0.435 0.576
O: 0.322 0.065 0.917
O: 0.424 0.823 0.565
O: 0.435 0.576 0.177
O: 0.565 0.424 0.823
O: 0.576 0.177 0.435
O: 0.678 0.935 0.083
O: 0.823 0.565 0.424
O: 0.917 0.322 0.065
O: 0.935 0.083 0.678

## Properties
Total moment: 2.33 μB per formula unit
DFT total energy: -159.8 eV per cell

No. 3
Entry from Alexandria: Pu3SbAs after structural relaxation (PBE).

a b c (Å): 5.431 6.279 7.093
angles (deg): 90.00 90.00 90.00
Positions (direct):
Pu: 0.250 0.014 0.201
Pu: 0.250 0.486 0.201
Pu: 0.250 0.750 0.482
Pu: 0.750 0.250 0.518
Pu: 0.750 0.514 0.799
Pu: 0.750 0.986 0.799
Sb: 0.250 0.250 0.688
Sb: 0.750 0.750 0.312
As: 0.250 0.750 0.871
As: 0.750 0.250 0.129

## Properties
Total moment: 5.60 μB per formula unit
DFT total energy: -107.6 eV per cell

No. 4
Entry from Alexandria: ErTlCuRh after structural relaxation (PBE).

a b c (Å): 4.739 4.739 4.739
angles (deg): 60.00 60.00 60.00
Positions (direct):
Er: 0.000 0.000 0.000
Tl: 0.500 0.500 0.500
Cu: 0.750 0.750 0.750
Rh: 0.250 0.250 0.250

## Properties
Total moment: 0.00 μB per formula unit
Energy of formation from the pure elements: -1.2 eV per formula unit
DFT total energy: -19.6 eV per cell

No. 5
Entry from Alexandria: PrP2H7O7 after structural relaxation (PBE).

a b c (Å): 6.718 7.217 16.924
angles (deg): 90.00 90.00 90.00
Positions (direct):
Pr: 0.142 0.132 0.222
Pr: 0.358 0.868 0.722
Pr: 0.642 0.368 0.778
Pr: 0.858 0.632 0.278
P: 0.186 0.364 0.714
P: 0.187 0.358 0.419
P: 0.313 0.642 0.919
P: 0.314 0.636 0.214
P: 0.686 0.136 0.286
P: 0.687 0.142 0.581
P: 0.813 0.858 0.081
P: 0.814 0.864 0.786
H: 0.060 0.761 0.586
H: 0.108 0.312 0.494
H: 0.111 0.596 0.935
H: 0.142 0.332 0.633
H: 0.227 0.740 0.413
H: 0.228 0.045 0.909
H: 0.246 0.835 0.536
H: 0.254 0.165 0.036
H: 0.272 0.955 0.409
H: 0.273 0.260 0.913
H: 0.358 0.668 0.133
H: 0.389 0.404 0.435
H: 0.392 0.688 0.994
H: 0.440 0.239 0.086
H: 0.560 0.739 0.414
H: 0.608 0.188 0.506
H: 0.611 0.904 0.065
H: 0.642 0.168 0.367
H: 0.727 0.760 0.587
H: 0.728 0.455 0.091
H: 0.746 0.665 0.464
H: 0.754 0.335 0.964
H: 0.772 0.545 0.591
H: 0.773 0.240 0.087
H: 0.858 0.832 0.867
H: 0.889 0.096 0.565
H: 0.892 0.812 0.006
H: 0.940 0.261 0.914
O: 0.008 0.885 0.742
O: 0.084 0.533 0.389
O: 0.175 0.465 0.217
O: 0.180 0.183 0.368
O: 0.183 0.801 0.242
O: 0.187 0.162 0.935
O: 0.190 0.825 0.590
O: 0.310 0.175 0.090
O: 0.313 0.838 0.435
O: 0.317 0.199 0.742
O: 0.320 0.817 0.868
O: 0.325 0.535 0.717
O: 0.416 0.467 0.889
O: 0.492 0.115 0.242
O: 0.508 0.615 0.258
O: 0.584 0.967 0.611
O: 0.675 0.035 0.783
O: 0.680 0.317 0.632
O: 0.683 0.699 0.758
O: 0.687 0.338 0.065
O: 0.690 0.675 0.410
O: 0.810 0.325 0.910
O: 0.813 0.662 0.565
O: 0.817 0.301 0.258
O: 0.820 0.683 0.132
O: 0.825 0.965 0.283
O: 0.916 0.033 0.111
O: 0.992 0.385 0.758

## Properties
Total moment: 0.00 μB per formula unit
DFT total energy: -403.7 eV per cell

No. 6
Entry from Alexandria: KAgF3 after structural relaxation (PBE).

a b c (Å): 3.669 5.718 7.666
angles (deg): 90.00 90.00 90.00
Positions (direct):
K: 0.250 0.250 0.144
K: 0.750 0.750 0.856
Ag: 0.250 0.750 0.381
Ag: 0.750 0.250 0.619
F: 0.250 0.501 0.638
F: 0.250 0.750 0.098
F: 0.250 0.999 0.638
F: 0.750 0.001 0.362
F: 0.750 0.250 0.902
F: 0.750 0.499 0.362

## Properties
Total moment: 1.00 μB per formula unit
DFT total energy: -36.6 eV per cell